[1]
The following is a DFT calculation (PBE-GGA) of a relaxed YTcAs crystal.

The calculated volume comes out at 21.21 Å³/atom. The calculation puts the energy at -7.3725 eV/atom.

It has space group F-43m (No. 216), with a = 6.3371 Å, b = 6.3371 Å, c = 6.3371 Å, α = 90.00°, β = 90.00° and γ = 90.00°. The asymmetric unit holds Y at (0.0000, 0.0000, 0.0000), Tc at (0.0000, 0.0000, 0.5000) and As at (0.2500, 0.2500, 0.7500).

---

[2]
The following is a DFT calculation (PBE-GGA) of a relaxed ZnTc2As crystal.

The calculated volume comes out at 15.02 Å³/atom. The calculation puts the energy at -6.4071 eV/atom.

It has space group F-43m (No. 216), with a = 6.2172 Å, b = 6.2172 Å, c = 6.2172 Å, α = 90.00°, β = 90.00° and γ = 90.00°. The asymmetric unit holds Zn at (0.0000, 0.0000, 0.0000), Tc at (0.0000, 0.0000, 0.5000), Tc at (0.2500, 0.2500, 0.2500) and As at (0.2500, 0.2500, 0.7500).

---

[3]
The following is a DFT calculation (PBE-GGA) of a relaxed ZnTcAs2 crystal.

The calculated volume comes out at 16.02 Å³/atom. The calculation puts the energy at -4.7325 eV/atom.

It has space group F-43m (No. 216), with a = 6.3522 Å, b = 6.3522 Å, c = 6.3522 Å, α = 90.00°, β = 90.00° and γ = 90.00°. The asymmetric unit holds Zn at (0.0000, 0.0000, 0.0000), Tc at (0.2500, 0.2500, 0.7500), As at (0.0000, 0.0000, 0.5000) and As at (0.2500, 0.2500, 0.2500).

---

[4]
The following is a DFT calculation (PBE-GGA) of a relaxed ZrTcAs2 crystal.

The calculated volume comes out at 17.37 Å³/atom. The calculation puts the energy at -7.1387 eV/atom.

It has space group F-43m (No. 216), with a = 6.5259 Å, b = 6.5259 Å, c = 6.5259 Å, α = 90.00°, β = 90.00° and γ = 90.00°. The asymmetric unit holds Zr at (0.0000, 0.0000, 0.0000), Tc at (0.2500, 0.2500, 0.7500), As at (0.0000, 0.0000, 0.5000) and As at (0.2500, 0.2500, 0.2500).

---

[5]
The following is a DFT calculation (PBE-GGA) of a relaxed ZrTlTe3As crystal.

The calculated volume comes out at 28.15 Å³/atom. The calculation puts the energy at -4.4405 eV/atom.

It has space group Cmcm (No. 63), with a = 3.8437 Å, b = 17.0665 Å, c = 10.2997 Å, α = 90.00°, β = 90.00° and γ = 90.00°. The asymmetric unit holds Zr at (0.0000, 0.0000, 0.0000), Tl at (0.0000, 0.2258, 0.2500), Te at (0.0000, 0.1041, 0.7500), Te at (0.0000, 0.3655, 0.5242) and As at (0.0000, 0.4763, 0.7500).

---

[6]
The following is a DFT calculation (PBE-GGA) of a relaxed TmTeAs crystal.

The calculated volume comes out at 29.02 Å³/atom. The calculation puts the energy at -4.6736 eV/atom.

It has space group F-43m (No. 216), with a = 7.0358 Å, b = 7.0358 Å, c = 7.0358 Å, α = 90.00°, β = 90.00° and γ = 90.00°. The asymmetric unit holds Tm at (0.0000, 0.0000, 0.0000), Te at (0.2500, 0.2500, 0.2500) and As at (0.2500, 0.2500, 0.7500).